Entry 1
The following is a GGA-PBE calculation of RbCu3Sn after structural relaxation, from Alexandria.

Crystal system: cubic

```
data_RbCu3Sn
_space_group_name_H-M_alt 'P m -3 m'
_space_group_IT_number 221
_space_group_name_Hall '-P 4 2 3'
_cell_length_a 5.270
_cell_length_b 5.270
_cell_length_c 5.270
_cell_angle_alpha 90.00
_cell_angle_beta 90.00
_cell_angle_gamma 90.00
loop_
_atom_site_label
_atom_site_fract_x
_atom_site_fract_y
_atom_site_fract_z
Rb1 0.000 0.000 0.000
Cu1 0.000 0.000 0.500
Sn1 0.500 0.500 0.500
```

Entry 2
The following is a GGA-PBE calculation of RbCu3Sn after structural relaxation, from Alexandria.

Crystal system: cubic

```
data_RbCu3Sn
_space_group_name_H-M_alt 'P m -3 m'
_space_group_IT_number 221
_space_group_name_Hall '-P 4 2 3'
_cell_length_a 5.066
_cell_length_b 5.066
_cell_length_c 5.066
_cell_angle_alpha 90.00
_cell_angle_beta 90.00
_cell_angle_gamma 90.00
loop_
_atom_site_label
_atom_site_fract_x
_atom_site_fract_y
_atom_site_fract_z
Rb1 0.000 0.000 0.000
Cu1 0.000 0.500 0.500
Sn1 0.500 0.500 0.500
```

Most favorable structure: entry 2. The second most favorable one is 1.270 eV/atom above it.

Entry 1
The following is a GGA-PBE calculation of RbCu2Sn2 after structural relaxation, from Alexandria.

Crystal system: tetragonal

```
data_RbCu2Sn2
_space_group_name_H-M_alt 'I 4/m m m'
_space_group_IT_number 139
_space_group_name_Hall '-I 4 2'
_cell_length_a 4.783
_cell_length_b 4.783
_cell_length_c 12.345
_cell_angle_alpha 90.00
_cell_angle_beta 90.00
_cell_angle_gamma 90.00
loop_
_atom_site_label
_atom_site_fract_x
_atom_site_fract_y
_atom_site_fract_z
Rb1 0.000 0.000 0.000
Cu1 0.000 0.000 0.346
Sn1 0.000 0.500 0.250
```

Entry 2
The following is a GGA-PBE calculation of RbCu2Sn2 after structural relaxation, from Alexandria.

Crystal system: tetragonal

```
data_RbCu2Sn2
_space_group_name_H-M_alt 'I 4/m m m'
_space_group_IT_number 139
_space_group_name_Hall '-I 4 2'
_cell_length_a 4.715
_cell_length_b 4.715
_cell_length_c 11.571
_cell_angle_alpha 90.00
_cell_angle_beta 90.00
_cell_angle_gamma 90.00
loop_
_atom_site_label
_atom_site_fract_x
_atom_site_fract_y
_atom_site_fract_z
Rb1 0.000 0.000 0.000
Cu1 0.000 0.500 0.250
Sn1 0.000 0.000 0.354
```

Most favorable structure: entry 2. The second most favorable one is 0.060 eV/atom above it.